(1)
# GGA-PBE Sm4Al2In, optimized geometry
data_Sm4Al2In
_chemical_formula_sum 'Sm12 Al6 In3'
_space_group_name_H-M_alt 'R -3 m'
_space_group_IT_number 166
_space_group_name_Hall '-R 3 2"'
_cell_length_a 5.2198
_cell_length_b 5.2198
_cell_length_c 25.3577
_cell_angle_alpha 90.00
_cell_angle_beta 90.00
_cell_angle_gamma 120.00
loop_
_atom_site_label
_atom_site_type_symbol
_atom_site_fract_x
_atom_site_fract_y
_atom_site_fract_z
Sm1 Sm 0.0000 0.0000 0.1162
Sm2 Sm 0.0000 0.0000 0.3692
Al1 Al 0.0000 0.0000 0.2474
In1 In 0.0000 0.0000 0.5000
# **Magnetization**: 0.00 Bohr magnetons per cell
# **DFT formation energy**: -0.2614 eV/atom
# **Density of states at the Fermi level**: 1.043 states/eV/atom
# **Energy**: -4.419 eV/atom

(2)
# GGA-PBE Sm2AlIn, optimized geometry
data_Sm2AlIn
_chemical_formula_sum 'Sm2 Al1 In1'
_space_group_name_H-M_alt 'P 4/m m m'
_space_group_IT_number 123
_space_group_name_Hall '-P 4 2'
_cell_length_a 3.736
_cell_length_b 3.736
_cell_length_c 7.618
_cell_angle_alpha 90.00
_cell_angle_beta 90.00
_cell_angle_gamma 90.00
loop_
_atom_site_label
_atom_site_type_symbol
_atom_site_fract_x
_atom_site_fract_y
_atom_site_fract_z
Sm1 Sm 0.000 0.000 0.240
Al1 Al 0.500 0.500 0.000
In1 In 0.500 0.500 0.500
# **Magnetization**: 0.00 Bohr magnetons per cell
# **DFT formation energy**: -0.4254 eV/atom
# **Density of states at the Fermi level**: 0.559 states/eV/atom
# **Energy**: -4.405 eV/atom

(3)
# GGA-PBE Sm3Al2In3, optimized geometry
data_Sm3Al2In3
_chemical_formula_sum 'Sm12 Al8 In12'
_space_group_name_H-M_alt 'C m c m'
_space_group_IT_number 63
_space_group_name_Hall '-C 2c 2'
_cell_length_a 4.594
_cell_length_b 11.449
_cell_length_c 15.691
_cell_angle_alpha 90.00
_cell_angle_beta 90.00
_cell_angle_gamma 90.00
loop_
_atom_site_label
_atom_site_type_symbol
_atom_site_fract_x
_atom_site_fract_y
_atom_site_fract_z
Sm1 Sm 0.000 0.073 0.112
Sm2 Sm 0.000 0.351 0.250
Al1 Al 0.000 0.216 0.611
In1 In 0.000 0.370 0.750
In2 In 0.000 0.375 0.038
# **Magnetization**: 0.05 Bohr magnetons per cell
# **DFT formation energy**: -0.4532 eV/atom
# **Density of states at the Fermi level**: 0.976 states/eV/atom
# **Energy**: -4.185 eV/atom

(4)
# GGA-PBE Sm6AlIn3, optimized geometry
data_Sm6AlIn3
_chemical_formula_sum 'Sm12 Al2 In6'
_space_group_name_H-M_alt 'P 1 21/m 1'
_space_group_IT_number 11
_cell_length_a 9.475
_cell_length_b 5.360
_cell_length_c 11.779
_cell_angle_alpha 90.00
_cell_angle_beta 107.27
_cell_angle_gamma 90.00
loop_
_space_group_symop_operation_xyz
'x,y,z'
'-x,-y,-z'
'-x,y+1/2,-z'
'x,-y+1/2,z'
loop_
_atom_site_label
_atom_site_type_symbol
_atom_site_fract_x
_atom_site_fract_y
_atom_site_fract_z
Sm1 Sm 0.035 0.250 0.411
Sm2 Sm 0.165 0.750 0.173
Sm3 Sm 0.264 0.250 0.001
Sm4 Sm 0.349 0.750 0.817
Sm5 Sm 0.372 0.250 0.341
Sm6 Sm 0.402 0.250 0.624
Al1 Al 0.456 0.750 0.104
In1 In 0.028 0.750 0.882
In2 In 0.118 0.250 0.717
In3 In 0.272 0.750 0.471
# **Magnetization**: 0.00 Bohr magnetons per cell
# **DFT formation energy**: -0.3570 eV/atom
# **Density of states at the Fermi level**: 0.893 states/eV/atom
# **Energy**: -4.384 eV/atom

(5)
# GGA-PBE Sm3AlIn2, optimized geometry
data_Sm3AlIn2
_chemical_formula_sum 'Sm3 Al1 In2'
_space_group_name_H-M_alt 'P 4/m m m'
_space_group_IT_number 123
_space_group_name_Hall '-P 4 2'
_cell_length_a 3.762
_cell_length_b 3.762
_cell_length_c 11.483
_cell_angle_alpha 90.00
_cell_angle_beta 90.00
_cell_angle_gamma 90.00
loop_
_atom_site_label
_atom_site_type_symbol
_atom_site_fract_x
_atom_site_fract_y
_atom_site_fract_z
Sm1 Sm 0.000 0.000 0.000
Sm2 Sm 0.000 0.000 0.343
Al1 Al 0.500 0.500 0.500
In1 In 0.500 0.500 0.171
# **Magnetization**: 0.00 Bohr magnetons per cell
# **DFT formation energy**: -0.4466 eV/atom
# **Density of states at the Fermi level**: 0.603 states/eV/atom
# **Energy**: -4.343 eV/atom

(6)
# GGA-PBE Sm5AlIn3, optimized geometry
data_Sm5AlIn3
_chemical_formula_sum 'Sm10 Al2 In6'
_space_group_name_H-M_alt 'P 63/m c m'
_space_group_IT_number 193
_space_group_name_Hall '-P 6c 2'
_cell_length_a 9.4696
_cell_length_b 9.4696
_cell_length_c 6.6572
_cell_angle_alpha 90.00
_cell_angle_beta 90.00
_cell_angle_gamma 120.00
loop_
_atom_site_label
_atom_site_type_symbol
_atom_site_fract_x
_atom_site_fract_y
_atom_site_fract_z
Sm1 Sm 0.0000 0.2797 0.2500
Sm2 Sm 0.3333 0.6667 0.0000
Al1 Al 0.0000 0.0000 0.0000
In1 In 0.0000 0.3724 0.7500
# **Magnetization**: 0.00 Bohr magnetons per cell
# **DFT formation energy**: -0.4020 eV/atom
# **Density of states at the Fermi level**: 0.871 states/eV/atom
# **Energy**: -4.352 eV/atom

(7)
# GGA-PBE Sm2AlIn, optimized geometry
data_Sm2AlIn
_chemical_formula_sum 'Sm6 Al3 In3'
_space_group_name_H-M_alt 'R -3 m'
_space_group_IT_number 166
_space_group_name_Hall '-R 3 2"'
_cell_length_a 3.7448
_cell_length_b 3.7448
_cell_length_c 28.5090
_cell_angle_alpha 90.00
_cell_angle_beta 90.00
_cell_angle_gamma 120.00
loop_
_atom_site_label
_atom_site_type_symbol
_atom_site_fract_x
_atom_site_fract_y
_atom_site_fract_z
Sm1 Sm 0.0000 0.0000 0.2457
Al1 Al 0.0000 0.0000 0.5000
In1 In 0.0000 0.0000 0.0000
# **Magnetization**: 0.00 Bohr magnetons per cell
# **DFT formation energy**: -0.2287 eV/atom
# **Density of states at the Fermi level**: 0.745 states/eV/atom
# **Energy**: -4.209 eV/atom

(8)
# GGA-PBE SmAl4In, optimized geometry
data_SmAl4In
_chemical_formula_sum 'Sm4 Al16 In4'
_space_group_name_H-M_alt 'F -4 3 m'
_space_group_IT_number 216
_space_group_name_Hall 'F -4 2 3'
_cell_length_a 7.939
_cell_length_b 7.939
_cell_length_c 7.939
_cell_angle_alpha 90.00
_cell_angle_beta 90.00
_cell_angle_gamma 90.00
loop_
_atom_site_label
_atom_site_type_symbol
_atom_site_fract_x
_atom_site_fract_y
_atom_site_fract_z
Sm1 Sm 0.000 0.000 0.000
Al1 Al 0.125 0.125 0.375
In1 In 0.250 0.250 0.750
# **Magnetization**: 0.00 Bohr magnetons per cell
# **DFT formation energy**: -0.1816 eV/atom
# **Density of states at the Fermi level**: 0.885 states/eV/atom
# **Energy**: -3.920 eV/atom